Record 1
# Li5Mg5Tl, relaxed, DFT PBE
# Energy relative to the elements: 3.8 kJ per mole of atoms
# Calculated total energy: -1.77 eV per atom
data_Li5Mg5Tl
_chemical_formula_sum 'Li5 Mg5 Tl1'
_cell_length_a 5.3003
_cell_length_b 5.3003
_cell_length_c 9.6102
_cell_angle_alpha 90.00
_cell_angle_beta 90.00
_cell_angle_gamma 120.00
_symmetry_space_group_name_H-M 'P -6 m 2'
_symmetry_Int_Tables_number 187
_symmetry_space_group_name_Hall 'P -6 2'
loop_
_atom_site_label
_atom_site_type_symbol
_atom_site_fract_x
_atom_site_fract_y
_atom_site_fract_z
Li1 Li 0.0000 0.0000 0.2242
Li2 Li 0.3459 0.1729 0.0000
Mg1 Mg 0.0000 0.0000 0.5000
Mg2 Mg 0.3333 0.6667 0.1717
Mg3 Mg 0.6667 0.3333 0.3124
Tl1 Tl 0.3333 0.6667 0.5000

=====

Record 2
# LiMg2Tl6, relaxed, DFT PBE
# Energy relative to the elements: 4.8 kJ per mole of atoms
# Excess energy over the best structure of this formula in the dataset: 84.7 meV per atom
# Calculated total energy: -2.09 eV per atom
data_LiMg2Tl6
_chemical_formula_sum 'Li2 Mg4 Tl12'
_cell_length_a 15.448
_cell_length_b 7.121
_cell_length_c 4.854
_cell_angle_alpha 90.00
_cell_angle_beta 107.19
_cell_angle_gamma 90.00
_symmetry_space_group_name_H-M 'C 1 2/m 1'
_symmetry_Int_Tables_number 12
loop_
_symmetry_equiv_pos_as_xyz
'x,y,z'
'-x,-y,-z'
'-x,y,-z'
'x,-y,z'
'x+1/2,y+1/2,z'
'-x+1/2,-y+1/2,-z'
'-x+1/2,y+1/2,-z'
'x+1/2,-y+1/2,z'
loop_
_atom_site_label
_atom_site_type_symbol
_atom_site_fract_x
_atom_site_fract_y
_atom_site_fract_z
Li1 Li 0.000 0.000 0.000
Mg1 Mg 0.165 0.500 0.658
Tl1 Tl 0.000 0.236 0.500
Tl2 Tl 0.162 0.239 0.156

=====

Record 3
# Li3Mg2Tl, relaxed, DFT PBE
# Energy relative to the elements: -12.7 kJ per mole of atoms
# Excess energy over the best structure of this formula in the dataset: 0.0 meV per atom
# Calculated total energy: -2.01 eV per atom
data_Li3Mg2Tl
_chemical_formula_sum 'Li6 Mg4 Tl2'
_cell_length_a 4.642
_cell_length_b 14.051
_cell_length_c 3.682
_cell_angle_alpha 90.00
_cell_angle_beta 90.00
_cell_angle_gamma 90.00
_symmetry_space_group_name_H-M 'P m m n'
_symmetry_Int_Tables_number 59
loop_
_symmetry_equiv_pos_as_xyz
'x,y,z'
'-x,-y,-z'
'-x+1/2,-y+1/2,z'
'x+1/2,y+1/2,-z'
'x+1/2,-y,-z'
'-x+1/2,y,z'
'-x,y+1/2,-z'
'x,-y+1/2,z'
loop_
_atom_site_label
_atom_site_type_symbol
_atom_site_fract_x
_atom_site_fract_y
_atom_site_fract_z
Li1 Li 0.250 0.087 0.001
Li2 Li 0.250 0.750 0.999
Mg1 Mg 0.250 0.584 0.499
Tl1 Tl 0.250 0.250 0.501

=====

Record 4
# LiMgTl3, relaxed, DFT PBE
# Energy relative to the elements: -4.0 kJ per mole of atoms
# Excess energy over the best structure of this formula in the dataset: 40.3 meV per atom
# Calculated total energy: -2.16 eV per atom
data_LiMgTl3
_chemical_formula_sum 'Li8 Mg8 Tl24'
_cell_length_a 11.184
_cell_length_b 10.887
_cell_length_c 8.528
_cell_angle_alpha 90.00
_cell_angle_beta 90.30
_cell_angle_gamma 90.00
_symmetry_space_group_name_H-M 'C 1 2/c 1'
_symmetry_Int_Tables_number 15
loop_
_symmetry_equiv_pos_as_xyz
'x,y,z'
'-x,-y,-z'
'-x,y,-z+1/2'
'x,-y,z+1/2'
'x+1/2,y+1/2,z'
'-x+1/2,-y+1/2,-z'
'-x+1/2,y+1/2,-z+1/2'
'x+1/2,-y+1/2,z+1/2'
loop_
_atom_site_label
_atom_site_type_symbol
_atom_site_fract_x
_atom_site_fract_y
_atom_site_fract_z
Li1 Li 0.248 0.034 0.131
Mg1 Mg 0.000 0.132 0.750
Mg2 Mg 0.000 0.368 0.250
Tl1 Tl 0.092 0.113 0.408
Tl2 Tl 0.093 0.387 0.593
Tl3 Tl 0.249 0.310 0.169

=====

Record 5
# LiMg5Tl8, relaxed, DFT PBE
# Energy relative to the elements: -0.1 kJ per mole of atoms
# Calculated total energy: -2.06 eV per atom
data_LiMg5Tl8
_chemical_formula_sum 'Li2 Mg10 Tl16'
_cell_length_a 8.891
_cell_length_b 8.891
_cell_length_c 9.264
_cell_angle_alpha 90.00
_cell_angle_beta 90.00
_cell_angle_gamma 90.00
_symmetry_space_group_name_H-M 'I -4'
_symmetry_Int_Tables_number 82
loop_
_symmetry_equiv_pos_as_xyz
'x,y,z'
'y,-x,-z'
'-x,-y,z'
'-y,x,-z'
'x+1/2,y+1/2,z+1/2'
'y+1/2,-x+1/2,-z+1/2'
'-x+1/2,-y+1/2,z+1/2'
'-y+1/2,x+1/2,-z+1/2'
loop_
_atom_site_label
_atom_site_type_symbol
_atom_site_fract_x
_atom_site_fract_y
_atom_site_fract_z
Li1 Li 0.000 0.000 0.000
Mg1 Mg 0.000 0.500 0.250
Mg2 Mg 0.117 0.711 0.663
Tl1 Tl 0.069 0.831 0.333
Tl2 Tl 0.085 0.687 0.989

=====

Record 6
# LiMg2Tl5, relaxed, DFT PBE
# Energy relative to the elements: -3.2 kJ per mole of atoms
# Excess energy over the best structure of this formula in the dataset: 0.0 meV per atom
# Calculated total energy: -2.15 eV per atom
data_LiMg2Tl5
_chemical_formula_sum 'Li2 Mg4 Tl10'
_cell_length_a 7.494
_cell_length_b 7.494
_cell_length_c 7.418
_cell_angle_alpha 90.00
_cell_angle_beta 90.00
_cell_angle_gamma 90.00
_symmetry_space_group_name_H-M 'I 4 m m'
_symmetry_Int_Tables_number 107
_symmetry_space_group_name_Hall 'I 4 -2'
loop_
_atom_site_label
_atom_site_type_symbol
_atom_site_fract_x
_atom_site_fract_y
_atom_site_fract_z
Li1 Li 0.000 0.000 0.000
Mg1 Mg 0.000 0.500 0.499
Tl1 Tl 0.000 0.000 0.496
Tl2 Tl 0.249 0.249 0.748

=====

Record 7
# Li3MgTl3, relaxed, DFT PBE
# Energy relative to the elements: -12.3 kJ per mole of atoms
# Excess energy over the best structure of this formula in the dataset: 0.0 meV per atom
# Calculated total energy: -2.19 eV per atom
data_Li3MgTl3
_chemical_formula_sum 'Li12 Mg4 Tl12'
_cell_length_a 9.682
_cell_length_b 9.857
_cell_length_c 6.662
_cell_angle_alpha 90.00
_cell_angle_beta 90.00
_cell_angle_gamma 90.00
_symmetry_space_group_name_H-M 'C m m m'
_symmetry_Int_Tables_number 65
_symmetry_space_group_name_Hall '-C 2 2'
loop_
_atom_site_label
_atom_site_type_symbol
_atom_site_fract_x
_atom_site_fract_y
_atom_site_fract_z
Li1 Li 0.000 0.233 0.000
Li2 Li 0.000 0.250 0.500
Li3 Li 0.224 0.000 0.000
Mg1 Mg 0.181 0.000 0.500
Tl1 Tl 0.000 0.500 0.246
Tl2 Tl 0.250 0.250 0.245

=====

Record 8
# Li5Mg5Tl2, relaxed, DFT PBE
# Energy relative to the elements: -12.2 kJ per mole of atoms
# Calculated total energy: -1.98 eV per atom
data_Li5Mg5Tl2
_chemical_formula_sum 'Li10 Mg10 Tl4'
_cell_length_a 8.365
_cell_length_b 4.842
_cell_length_c 11.991
_cell_angle_alpha 90.00
_cell_angle_beta 90.21
_cell_angle_gamma 90.00
_symmetry_space_group_name_H-M 'C 1 2/m 1'
_symmetry_Int_Tables_number 12
loop_
_symmetry_equiv_pos_as_xyz
'x,y,z'
'-x,-y,-z'
'-x,y,-z'
'x,-y,z'
'x+1/2,y+1/2,z'
'-x+1/2,-y+1/2,-z'
'-x+1/2,y+1/2,-z'
'x+1/2,-y+1/2,z'
loop_
_atom_site_label
_atom_site_type_symbol
_atom_site_fract_x
_atom_site_fract_y
_atom_site_fract_z
Li1 Li 0.000 0.000 0.000
Li2 Li 0.001 0.000 0.757
Li3 Li 0.167 0.500 0.585
Mg1 Mg 0.000 0.000 0.500
Mg2 Mg 0.166 0.500 0.079
Mg3 Mg 0.166 0.500 0.339
Tl1 Tl 0.167 0.500 0.823

=====

Record 9
# Li2Mg6Tl3, relaxed, DFT PBE
# Energy relative to the elements: 3.1 kJ per mole of atoms
# Excess energy over the best structure of this formula in the dataset: 76.5 meV per atom
# Calculated total energy: -1.83 eV per atom
data_Li2Mg6Tl3
_chemical_formula_sum 'Li4 Mg12 Tl6'
_cell_length_a 4.231
_cell_length_b 4.231
_cell_length_c 29.505
_cell_angle_alpha 90.00
_cell_angle_beta 90.00
_cell_angle_gamma 90.00
_symmetry_space_group_name_H-M 'I 4/m m m'
_symmetry_Int_Tables_number 139
_symmetry_space_group_name_Hall '-I 4 2'
loop_
_atom_site_label
_atom_site_type_symbol
_atom_site_fract_x
_atom_site_fract_y
_atom_site_fract_z
Li1 Li 0.000 0.000 0.043
Mg1 Mg 0.000 0.000 0.209
Mg2 Mg 0.000 0.500 0.113
Tl1 Tl 0.000 0.000 0.310
Tl2 Tl 0.000 0.000 0.500

=====

Record 10
# Li4MgTl3, relaxed, DFT PBE
# Energy relative to the elements: -20.7 kJ per mole of atoms
# Excess energy over the best structure of this formula in the dataset: 0.0 meV per atom
# Calculated total energy: -2.26 eV per atom
data_Li4MgTl3
_chemical_formula_sum 'Li12 Mg3 Tl9'
_cell_length_a 4.8549
_cell_length_b 4.8549
_cell_length_c 23.8139
_cell_angle_alpha 90.00
_cell_angle_beta 90.00
_cell_angle_gamma 120.00
_symmetry_space_group_name_H-M 'R -3 m'
_symmetry_Int_Tables_number 166
_symmetry_space_group_name_Hall '-R 3 2"'
loop_
_atom_site_label
_atom_site_type_symbol
_atom_site_fract_x
_atom_site_fract_y
_atom_site_fract_z
Li1 Li 0.0000 0.0000 0.1208
Li2 Li 0.0000 0.0000 0.3721
Mg1 Mg 0.0000 0.0000 0.5000
Tl1 Tl 0.0000 0.0000 0.0000
Tl2 Tl 0.0000 0.0000 0.2419

=====

Copy entry 2 word for word.
# LiMg2Tl6, relaxed, DFT PBE
# Energy relative to the elements: 4.8 kJ per mole of atoms
# Excess energy over the best structure of this formula in the dataset: 84.7 meV per atom
# Calculated total energy: -2.09 eV per atom
data_LiMg2Tl6
_chemical_formula_sum 'Li2 Mg4 Tl12'
_cell_length_a 15.448
_cell_length_b 7.121
_cell_length_c 4.854
_cell_angle_alpha 90.00
_cell_angle_beta 107.19
_cell_angle_gamma 90.00
_symmetry_space_group_name_H-M 'C 1 2/m 1'
_symmetry_Int_Tables_number 12
loop_
_symmetry_equiv_pos_as_xyz
'x,y,z'
'-x,-y,-z'
'-x,y,-z'
'x,-y,z'
'x+1/2,y+1/2,z'
'-x+1/2,-y+1/2,-z'
'-x+1/2,y+1/2,-z'
'x+1/2,-y+1/2,z'
loop_
_atom_site_label
_atom_site_type_symbol
_atom_site_fract_x
_atom_site_fract_y
_atom_site_fract_z
Li1 Li 0.000 0.000 0.000
Mg1 Mg 0.165 0.500 0.658
Tl1 Tl 0.000 0.236 0.500
Tl2 Tl 0.162 0.239 0.156